# 1
Below is Ta3TlIr after structural relaxation, with properties calculated at the PBE level.

Lattice parameters (Å, degrees): 4.889 4.889 4.889 90.00 90.00 90.00
Fractional positions:
Tl1 0.500 0.500 0.500
Ir1 0.000 0.000 0.000
Ta1 0.000 0.500 0.000
Ta2 0.000 0.000 0.500
Ta3 0.500 0.000 0.000

Formation enthalpy at 0 K, kJ/mol of formula units: 466
Total energy, eV per atom: -8.391
Relative energy among the computed polymorphs, meV per atom: 0.0

***

# 2
Below is MgZnRu2 after structural relaxation, with properties calculated at the PBE level.

Lattice parameters (Å, degrees): 5.225 5.225 5.225 146.92 130.13 61.16
Fractional positions:
Mg1 0.246 0.746 0.500
Ru1 0.989 0.989 0.000
Ru2 0.755 0.255 0.500
Zn1 0.510 0.510 0.000

Formation enthalpy at 0 K, kJ/mol of formula units: 26
Total energy, eV per atom: -5.287